Record 1
CaNdIn | GGA-PBE | optimized geometry

Values from the calculation:
As for the total energy: -3.36 eV/atom.

CIF file:
```
data_CaNdIn
_chemical_formula_sum 'Ca6 Nd6 In6'
_cell_length_a 5.4228
_cell_length_b 5.4228
_cell_length_c 23.2484
_cell_angle_alpha 90.00
_cell_angle_beta 90.00
_cell_angle_gamma 120.00
_space_group_name_H-M_alt 'R -3 m'
_space_group_IT_number 166
_space_group_name_Hall '-R 3 2"'
loop_
_atom_site_label
_atom_site_type_symbol
_atom_site_fract_x
_atom_site_fract_y
_atom_site_fract_z
Ca1 Ca 0.0000 0.0000 0.1266
Nd1 Nd 0.0000 0.0000 0.2967
In1 In 0.0000 0.0000 0.4350
```

=====

Record 2
Ce2TmZn | GGA-PBE | optimized geometry

Values from the calculation:
As for the total energy: -4.11 eV/atom.

CIF file:
```
data_Ce2TmZn
_chemical_formula_sum 'Ce6 Tm3 Zn3'
_cell_length_a 3.2313
_cell_length_b 3.2313
_cell_length_c 36.2025
_cell_angle_alpha 90.00
_cell_angle_beta 90.00
_cell_angle_gamma 120.00
_space_group_name_H-M_alt 'R -3 m'
_space_group_IT_number 166
_space_group_name_Hall '-R 3 2"'
loop_
_atom_site_label
_atom_site_type_symbol
_atom_site_fract_x
_atom_site_fract_y
_atom_site_fract_z
Ce1 Ce 0.0000 0.0000 0.0859
Tm1 Tm 0.0000 0.0000 0.5000
Zn1 Zn 0.0000 0.0000 0.0000
```

=====

Record 3
ZnFeP2 | GGA-PBE | optimized geometry

Values from the calculation:
As for the total energy: -5.22 eV/atom.

CIF file:
```
data_ZnFeP2
_chemical_formula_sum 'Zn2 Fe2 P4'
_cell_length_a 3.420
_cell_length_b 2.642
_cell_length_c 12.832
_cell_angle_alpha 90.00
_cell_angle_beta 90.00
_cell_angle_gamma 90.00
_space_group_name_H-M_alt 'A m m 2'
_space_group_IT_number 38
_space_group_name_Hall 'A 2 -2'
loop_
_atom_site_label
_atom_site_type_symbol
_atom_site_fract_x
_atom_site_fract_y
_atom_site_fract_z
Zn1 Zn 0.000 0.000 0.000
Fe1 Fe 0.500 0.000 0.247
P1 P 0.000 0.000 0.815
P2 P 0.500 0.000 0.603
```

=====

Record 4
BeAg2Ru | GGA-PBE | optimized geometry

Values from the calculation:
As for the total energy: -4.20 eV/atom.

CIF file:
```
data_BeAg2Ru
_chemical_formula_sum 'Be4 Ag8 Ru4'
_cell_length_a 6.177
_cell_length_b 6.177
_cell_length_c 6.177
_cell_angle_alpha 90.00
_cell_angle_beta 90.00
_cell_angle_gamma 90.00
_space_group_name_H-M_alt 'F -4 3 m'
_space_group_IT_number 216
_space_group_name_Hall 'F -4 2 3'
loop_
_atom_site_label
_atom_site_type_symbol
_atom_site_fract_x
_atom_site_fract_y
_atom_site_fract_z
Be1 Be 0.000 0.000 0.000
Ag1 Ag 0.000 0.000 0.500
Ag2 Ag 0.250 0.250 0.750
Ru1 Ru 0.250 0.250 0.250
```

=====

Record 5
U2SnAu2S2 | GGA-PBE | optimized geometry

Values from the calculation:
The value obtained for the energy relative to the elements, uncorrected is -0.296 eV/atom.

CIF file:
```
data_U2SnAu2S2
_chemical_formula_sum 'U2 Sn1 Au2 S2'
_cell_length_a 5.0516
_cell_length_b 5.0516
_cell_length_c 7.9935
_cell_angle_alpha 90.00
_cell_angle_beta 90.00
_cell_angle_gamma 120.00
_space_group_name_H-M_alt 'P -3 m 1'
_space_group_IT_number 164
_space_group_name_Hall '-P 3 2"'
loop_
_atom_site_label
_atom_site_type_symbol
_atom_site_fract_x
_atom_site_fract_y
_atom_site_fract_z
U1 U 0.3333 0.6667 0.2002
Sn1 Sn 0.0000 0.0000 0.5000
Au1 Au 0.0000 0.0000 0.1659
S1 S 0.3333 0.6667 0.8569
```

=====

Record 6
Y2Al3Ge4 | GGA-PBE | optimized geometry

Values from the calculation:
As for the total energy: -5.17 eV/atom.

CIF file:
```
data_Y2Al3Ge4
_chemical_formula_sum 'Y8 Al12 Ge16'
_cell_length_a 6.122
_cell_length_b 14.704
_cell_length_c 7.853
_cell_angle_alpha 90.00
_cell_angle_beta 90.00
_cell_angle_gamma 90.00
_space_group_name_H-M_alt 'C m c e'
_space_group_IT_number 64
_space_group_name_Hall '-C 2ac 2'
loop_
_atom_site_label
_atom_site_type_symbol
_atom_site_fract_x
_atom_site_fract_y
_atom_site_fract_z
Y1 Y 0.000 0.114 0.082
Al1 Al 0.000 0.000 0.500
Al2 Al 0.250 0.216 0.750
Ge1 Ge 0.000 0.186 0.448
Ge2 Ge 0.250 0.044 0.750
```

=====

Record 7
TlCuHg2 | GGA-PBE | optimized geometry

Values from the calculation:
As for the total energy: -1.50 eV/atom.

CIF file:
```
data_TlCuHg2
_chemical_formula_sum 'Tl2 Cu2 Hg4'
_cell_length_a 4.802
_cell_length_b 4.802
_cell_length_c 8.108
_cell_angle_alpha 90.00
_cell_angle_beta 90.00
_cell_angle_gamma 90.00
_space_group_name_H-M_alt 'I -4 m 2'
_space_group_IT_number 119
_space_group_name_Hall 'I -4 -2'
loop_
_atom_site_label
_atom_site_type_symbol
_atom_site_fract_x
_atom_site_fract_y
_atom_site_fract_z
Tl1 Tl 0.000 0.000 0.000
Cu1 Cu 0.000 0.500 0.750
Hg1 Hg 0.000 0.000 0.500
Hg2 Hg 0.000 0.500 0.250
```

=====

Record 8
NaThSeO5 | GGA-PBE | optimized geometry

Values from the calculation:
The value obtained for the energy relative to the elements, uncorrected is -1.931 eV/atom.

CIF file:
```
data_NaThSeO5
_chemical_formula_sum 'Na4 Th4 Se4 O20'
_cell_length_a 8.328
_cell_length_b 9.203
_cell_length_c 8.482
_cell_angle_alpha 90.00
_cell_angle_beta 118.53
_cell_angle_gamma 90.00
_space_group_name_H-M_alt 'C 1 2/c 1'
_space_group_IT_number 15
_space_group_name_Hall '-C 2yc'
loop_
_atom_site_label
_atom_site_type_symbol
_atom_site_fract_x
_atom_site_fract_y
_atom_site_fract_z
Na1 Na 0.000 0.179 0.250
Th1 Th 0.000 0.500 0.000
Se1 Se 0.000 0.166 0.750
O1 O 0.000 0.436 0.250
O2 O 0.044 0.247 0.571
O3 O 0.175 0.043 0.861
```

=====

Record 9
RbYBi | GGA-PBE | optimized geometry

Values from the calculation:
As for the total energy: -4.20 eV/atom.

CIF file:
```
data_RbYBi
_chemical_formula_sum 'Rb6 Y6 Bi6'
_cell_length_a 5.0842
_cell_length_b 5.0842
_cell_length_c 40.9673
_cell_angle_alpha 90.00
_cell_angle_beta 90.00
_cell_angle_gamma 120.00
_space_group_name_H-M_alt 'R -3 m'
_space_group_IT_number 166
_space_group_name_Hall '-R 3 2"'
loop_
_atom_site_label
_atom_site_type_symbol
_atom_site_fract_x
_atom_site_fract_y
_atom_site_fract_z
Rb1 Rb 0.0000 0.0000 0.1134
Y1 Y 0.0000 0.0000 0.3055
Bi1 Bi 0.0000 0.0000 0.3860
```

=====

Record 10
CsAgO | GGA-PBE | optimized geometry

Values from the calculation:
The value obtained for the energy relative to the elements, uncorrected is -0.754 eV/atom.

CIF file:
```
data_CsAgO
_chemical_formula_sum 'Cs4 Ag4 O4'
_cell_length_a 5.803
_cell_length_b 11.503
_cell_length_c 5.698
_cell_angle_alpha 90.00
_cell_angle_beta 90.00
_cell_angle_gamma 90.00
_space_group_name_H-M_alt 'C m c m'
_space_group_IT_number 63
_space_group_name_Hall '-C 2c 2'
loop_
_atom_site_label
_atom_site_type_symbol
_atom_site_fract_x
_atom_site_fract_y
_atom_site_fract_z
Cs1 Cs 0.000 0.200 0.250
Ag1 Ag 0.000 0.500 0.000
O1 O 0.000 0.368 0.750
```

=====

Record 11
Ac2Pr4NdDy | GGA-PBE | optimized geometry

Values from the calculation:
As for the total energy: -4.55 eV/atom.

CIF file:
```
data_Ac2Pr4NdDy
_chemical_formula_sum 'Ac2 Pr4 Nd1 Dy1'
_cell_length_a 6.526
_cell_length_b 3.779
_cell_length_c 12.416
_cell_angle_alpha 90.00
_cell_angle_beta 100.31
_cell_angle_gamma 90.00
_space_group_name_H-M_alt 'P 1 2/m 1'
_space_group_IT_number 10
_space_group_name_Hall '-P 2y'
loop_
_atom_site_label
_atom_site_type_symbol
_atom_site_fract_x
_atom_site_fract_y
_atom_site_fract_z
Ac1 Ac 0.000 0.000 0.000
Ac2 Ac 0.500 0.500 0.000
Pr1 Pr 0.246 0.000 0.741
Pr2 Pr 0.252 0.500 0.258
Nd1 Nd 0.500 0.000 0.500
Dy1 Dy 0.000 0.500 0.500
```

=====

Record 12
Rb4Nd3PaTe8 | GGA-PBE | optimized geometry

Values from the calculation:
The value obtained for the energy relative to the elements, uncorrected is -1.273 eV/atom.

CIF file:
```
data_Rb4Nd3PaTe8
_chemical_formula_sum 'Rb12 Nd9 Pa3 Te24'
_cell_length_a 9.2126
_cell_length_b 9.2126
_cell_length_c 25.8517
_cell_angle_alpha 90.00
_cell_angle_beta 90.00
_cell_angle_gamma 120.00
_space_group_name_H-M_alt 'R -3 m'
_space_group_IT_number 166
_space_group_name_Hall '-R 3 2"'
loop_
_atom_site_label
_atom_site_type_symbol
_atom_site_fract_x
_atom_site_fract_y
_atom_site_fract_z
Rb1 Rb 0.0000 0.0000 0.0000
Rb2 Rb 0.0000 0.5000 0.0000
Nd1 Nd 0.0000 0.5000 0.5000
Pa1 Pa 0.0000 0.0000 0.5000
Te1 Te 0.0000 0.0000 0.2357
Te2 Te 0.0062 0.5031 0.2350
```

=====

no.,V (A^3/atom)
1,32.9
2,27.3
3,14.5
4,14.7
5,25.2
6,19.6
7,23.4
8,17.8
9,51.0
10,31.7
11,37.7
12,39.6